A relaxed HfTaSb2 crystal, computed with PBE-GGA.

It has space group Fm-3m (No. 225), with a = 6.9423 Å, b = 6.9423 Å, c = 6.9423 Å, α = 90.00°, β = 90.00° and γ = 90.00°. The asymmetric unit holds Hf at (0.0000, 0.0000, 0.0000), Ta at (0.0000, 0.0000, 0.5000) and Sb at (0.2500, 0.2500, 0.2500).

Its uncorrected formation energy is -0.09 eV per atom.



A relaxed Hf3TaSb crystal, computed with PBE-GGA.

It has space group Pm-3m (No. 221), with a = 5.0988 Å, b = 5.0988 Å, c = 5.0988 Å, α = 90.00°, β = 90.00° and γ = 90.00°. The asymmetric unit holds Hf at (0.0000, 0.0000, 0.5000), Ta at (0.0000, 0.0000, 0.0000) and Sb at (0.5000, 0.5000, 0.5000).

Its uncorrected formation energy is 0.94 eV per atom.



A relaxed Hf2TaSb4 crystal, computed with PBE-GGA.

It has space group C2/m (No. 12), with a = 14.6859 Å, b = 3.9400 Å, c = 7.1085 Å, α = 90.00°, β = 118.47° and γ = 90.00°. The asymmetric unit holds Hf at (0.2436, 0.0000, 0.2286), Ta at (0.0000, 0.0000, 0.0000), Sb at (0.1104, 0.0000, 0.7674) and Sb at (0.1149, 0.5000, 0.3079).

Its uncorrected formation energy is -0.22 eV per atom.



A relaxed Hf2TaSb crystal, computed with PBE-GGA.

It has space group P4/mmm (No. 123), with a = 4.6257 Å, b = 4.6257 Å, c = 3.8318 Å, α = 90.00°, β = 90.00° and γ = 90.00°. The asymmetric unit holds Hf at (0.0000, 0.5000, 0.0000), Ta at (0.0000, 0.0000, 0.5000) and Sb at (0.5000, 0.5000, 0.5000).

Its uncorrected formation energy is -0.21 eV per atom.



A relaxed HfTa3Sb crystal, computed with PBE-GGA.

It has space group Pm-3m (No. 221), with a = 4.9461 Å, b = 4.9461 Å, c = 4.9461 Å, α = 90.00°, β = 90.00° and γ = 90.00°. The asymmetric unit holds Hf at (0.0000, 0.0000, 0.0000), Ta at (0.0000, 0.0000, 0.5000) and Sb at (0.5000, 0.5000, 0.5000).

Its uncorrected formation energy is 1.76 eV per atom.



A relaxed HfTaSb2 crystal, computed with PBE-GGA.

It has space group R-3m (No. 166, hexagonal axes), with a = 3.1875 Å, b = 3.1875 Å, c = 31.3033 Å, α = 90.00°, β = 90.00° and γ = 120.00°. The asymmetric unit holds Hf at (0.0000, 0.0000, 0.0000), Ta at (0.0000, 0.0000, 0.5000) and Sb at (0.0000, 0.0000, 0.4090).

Its uncorrected formation energy is 0.28 eV per atom.



A relaxed Hf2TaSb crystal, computed with PBE-GGA.

It has space group R3m (No. 160, hexagonal axes), with a = 3.2510 Å, b = 3.2510 Å, c = 28.4315 Å, α = 90.00°, β = 90.00° and γ = 120.00°. The asymmetric unit holds Hf at (0.0000, 0.0000, 0.0000), Hf at (0.0000, 0.0000, 0.1622), Ta at (0.0000, 0.0000, 0.7472) and Sb at (0.0000, 0.0000, 0.5803).

Its uncorrected formation energy is 0.05 eV per atom.



A relaxed Hf2TaSb crystal, computed with PBE-GGA.

It has space group Amm2 (No. 38), with a = 9.0293 Å, b = 3.6632 Å, c = 5.2014 Å, α = 90.00°, β = 90.00° and γ = 90.00°. The asymmetric unit holds Hf at (0.2419, 0.0000, 0.0000), Ta at (0.0000, 0.0000, 0.5690) and Sb at (0.5000, 0.0000, 0.3820).

Its uncorrected formation energy is -0.09 eV per atom.



A relaxed HfTaSb3 crystal, computed with PBE-GGA.

It has space group Pm-3m (No. 221), with a = 5.3097 Å, b = 5.3097 Å, c = 5.3097 Å, α = 90.00°, β = 90.00° and γ = 90.00°. The asymmetric unit holds Hf at (0.0000, 0.0000, 0.0000), Ta at (0.5000, 0.5000, 0.5000) and Sb at (0.0000, 0.5000, 0.5000).

Its uncorrected formation energy is 0.86 eV per atom.



A relaxed Hf12TaSb6 crystal, computed with PBE-GGA.

It has space group R-3 (No. 148, hexagonal axes), with a = 13.6898 Å, b = 13.6898 Å, c = 8.4172 Å, α = 90.00°, β = 90.00° and γ = 120.00°. The asymmetric unit holds Hf at (0.0304, 0.8855, 0.2811), Hf at (0.0571, 0.8139, 0.9341), Ta at (0.0000, 0.0000, 0.0000) and Sb at (0.0521, 0.7958, 0.5850).

Its uncorrected formation energy is -0.23 eV per atom.



A relaxed Hf3TaSb crystal, computed with PBE-GGA.

It has space group P-1 (No. 2), with a = 3.6262 Å, b = 7.3386 Å, c = 8.3482 Å, α = 102.90°, β = 102.52° and γ = 90.01°. The asymmetric unit holds Hf at (0.0993, 0.0420, 0.1984), Hf at (0.1005, 0.5586, 0.2006), Hf at (0.2961, 0.6598, 0.5928), Ta at (0.2997, 0.1374, 0.6001) and Sb at (0.4963, 0.7474, 0.9925).

Its uncorrected formation energy is -0.22 eV per atom.



A relaxed HfTa3Sb crystal, computed with PBE-GGA.

It has space group Pm-3m (No. 221), with a = 4.9773 Å, b = 4.9773 Å, c = 4.9773 Å, α = 90.00°, β = 90.00° and γ = 90.00°. The asymmetric unit holds Hf at (0.0000, 0.0000, 0.0000), Ta at (0.0000, 0.5000, 0.5000) and Sb at (0.5000, 0.5000, 0.5000).

Its uncorrected formation energy is 1.54 eV per atom.



A relaxed HfTaSb crystal, computed with PBE-GGA.

It has space group C2/m (No. 12), with a = 16.8085 Å, b = 3.4182 Å, c = 9.4854 Å, α = 90.00°, β = 94.57° and γ = 90.00°. The asymmetric unit holds Hf at (0.0285, 0.0000, 0.3440), Hf at (0.1028, 0.5000, 0.8362), Ta at (0.2245, 0.0000, 0.3508), Ta at (0.2486, 0.0000, 0.8771), Sb at (0.1119, 0.0000, 0.0905) and Sb at (0.1406, 0.0000, 0.5976).

Its uncorrected formation energy is 0.07 eV per atom.



A relaxed HfTaSb crystal, computed with PBE-GGA.

It has space group P-6m2 (No. 187), with a = 4.9670 Å, b = 4.9670 Å, c = 2.9526 Å, α = 90.00°, β = 90.00° and γ = 120.00°. The asymmetric unit holds Hf at (0.0000, 0.0000, 0.0000), Ta at (0.6667, 0.3333, 0.5000) and Sb at (0.3333, 0.6667, 0.5000).

Its uncorrected formation energy is 0.08 eV per atom.



A relaxed Hf2TaSb crystal, computed with PBE-GGA.

It has space group P4/mmm (No. 123), with a = 3.6313 Å, b = 3.6313 Å, c = 6.2866 Å, α = 90.00°, β = 90.00° and γ = 90.00°. The asymmetric unit holds Hf at (0.0000, 0.0000, 0.2455), Ta at (0.5000, 0.5000, 0.0000) and Sb at (0.5000, 0.5000, 0.5000).

Its uncorrected formation energy is -0.28 eV per atom.



A relaxed Hf3TaSb crystal, computed with PBE-GGA.

It has space group Pm-3m (No. 221), with a = 5.1270 Å, b = 5.1270 Å, c = 5.1270 Å, α = 90.00°, β = 90.00° and γ = 90.00°. The asymmetric unit holds Hf at (0.0000, 0.0000, 0.5000), Ta at (0.5000, 0.5000, 0.5000) and Sb at (0.0000, 0.0000, 0.0000).

Its uncorrected formation energy is 1.23 eV per atom.



A relaxed HfTaTcSb2 crystal, computed with PBE-GGA.

It has space group P4/mmm (No. 123), with a = 5.3425 Å, b = 5.3425 Å, c = 5.0289 Å, α = 90.00°, β = 90.00° and γ = 90.00°. The asymmetric unit holds Hf at (0.0000, 0.0000, 0.0000), Ta at (0.0000, 0.0000, 0.5000), Tc at (0.5000, 0.5000, 0.5000) and Sb at (0.0000, 0.5000, 0.0000).

Its uncorrected formation energy is 1.67 eV per atom.



A relaxed Hf2TaSbTe crystal, computed with PBE-GGA.

It has space group P4/mmm (No. 123), with a = 5.1633 Å, b = 5.1633 Å, c = 5.4795 Å, α = 90.00°, β = 90.00° and γ = 90.00°. The asymmetric unit holds Hf at (0.0000, 0.5000, 0.0000), Ta at (0.0000, 0.0000, 0.5000), Sb at (0.5000, 0.5000, 0.5000) and Te at (0.5000, 0.5000, 0.0000).

Its uncorrected formation energy is 1.51 eV per atom.



A relaxed HfTaSbTe2 crystal, computed with PBE-GGA.

It has space group P4/mmm (No. 123), with a = 5.3250 Å, b = 5.3250 Å, c = 5.4031 Å, α = 90.00°, β = 90.00° and γ = 90.00°. The asymmetric unit holds Hf at (0.0000, 0.0000, 0.0000), Ta at (0.5000, 0.5000, 0.5000), Sb at (0.5000, 0.5000, 0.0000) and Te at (0.0000, 0.5000, 0.5000).

Its uncorrected formation energy is 0.75 eV per atom.



A relaxed Tb5HfSb6 crystal, computed with PBE-GGA.

It has space group C2/m (No. 12), with a = 7.5315 Å, b = 13.0401 Å, c = 7.5249 Å, α = 90.00°, β = 109.59° and γ = 90.00°. The asymmetric unit holds Tb at (0.0000, 0.0000, 0.0000), Tb at (0.0000, 0.1647, 0.5000), Tb at (0.0000, 0.3278, 0.0000), Hf at (0.0000, 0.5000, 0.5000), Sb at (0.2381, 0.5000, 0.2531) and Sb at (0.2409, 0.3388, 0.7414).

Its uncorrected formation energy is -1.02 eV per atom.



A relaxed Tb3HfSb4 crystal, computed with PBE-GGA.

It has space group P2/c (No. 13), with a = 7.4832 Å, b = 8.6595 Å, c = 7.4630 Å, α = 90.00°, β = 109.57° and γ = 90.00°. The asymmetric unit holds Tb at (0.0000, 0.1251, 0.2500), Tb at (0.0000, 0.3745, 0.7500), Tb at (0.5000, 0.3746, 0.2500), Hf at (0.5000, 0.1262, 0.7500), Sb at (0.2565, 0.3681, 0.5068) and Sb at (0.2638, 0.1176, 0.9999).

Its uncorrected formation energy is -0.95 eV per atom.



A relaxed TbHfSb3 crystal, computed with PBE-GGA.

It has space group Pbcm (No. 57), with a = 13.1831 Å, b = 6.3520 Å, c = 6.3321 Å, α = 90.00°, β = 90.00° and γ = 90.00°. The asymmetric unit holds Tb at (0.1794, 0.0126, 0.2500), Hf at (0.4069, 0.7500, 0.0000), Sb at (0.0035, 0.7500, 0.0000), Sb at (0.2574, 0.5067, 0.2500) and Sb at (0.4175, 0.1253, 0.2500).

Its uncorrected formation energy is -0.66 eV per atom.



A relaxed Hf12TcSb6 crystal, computed with PBE-GGA.

It has space group R-3 (No. 148, hexagonal axes), with a = 12.2716 Å, b = 12.2716 Å, c = 10.6642 Å, α = 90.00°, β = 90.00° and γ = 120.00°. The asymmetric unit holds Hf at (0.0248, 0.1642, 0.3749), Hf at (0.0713, 0.1961, 0.8726), Tc at (0.0000, 0.0000, 0.0000) and Sb at (0.0322, 0.2904, 0.6297).

Its uncorrected formation energy is -0.07 eV per atom.



A relaxed HfTcSb crystal, computed with PBE-GGA.

It has space group I4mm (No. 107), with a = 3.2742 Å, b = 3.2742 Å, c = 10.7229 Å, α = 90.00°, β = 90.00° and γ = 90.00°. The asymmetric unit holds Hf at (0.0000, 0.0000, 0.0000), Tc at (0.0000, 0.0000, 0.6568) and Sb at (0.0000, 0.0000, 0.2977).

Its uncorrected formation energy is -0.17 eV per atom.



A relaxed HfTc3Sb crystal, computed with PBE-GGA.

It has space group Pm-3m (No. 221), with a = 4.7985 Å, b = 4.7985 Å, c = 4.7985 Å, α = 90.00°, β = 90.00° and γ = 90.00°. The asymmetric unit holds Hf at (0.0000, 0.0000, 0.0000), Tc at (0.0000, 0.0000, 0.5000) and Sb at (0.5000, 0.5000, 0.5000).

Its uncorrected formation energy is 1.67 eV per atom.